(1)
meta-GGA SCAN YRu3, single point on PBEsol structure; ΔH_f (0 K) = 0.17 eV per atom; total energy = -32.91 eV/atom; symmetry = No. 123; volume = 63.6 Å³/f.u.
1.0
2.8638 0.0000 0.0000
0.0000 2.8638 0.0000
0.0000 0.0000 7.7536
Y Ru
1 3
Cartesian
0.0000 0.0000 0.0000
0.0000 0.0000 3.8768
1.4319 1.4319 2.2223
1.4319 1.4319 5.5313

(2)
meta-GGA SCAN Zr2FeNi, single point on PBEsol structure; ΔH_f (0 K) = -0.29 eV per atom; total energy = -24.22 eV/atom; energy above the most stable polymorph in this dataset = 0 meV/atom; symmetry = No. 123; volume = 62.4 Å³/f.u.
1.0
3.1433 0.0000 0.0000
0.0000 3.1433 0.0000
0.0000 0.0000 6.3156
Zr Fe Ni
2 1 1
Cartesian
0.0000 0.0000 1.5505
0.0000 0.0000 4.7651
1.5716 1.5716 0.0000
1.5716 1.5716 3.1578

(3)
meta-GGA SCAN HgPtW2, single point on PBEsol structure; ΔH_f (0 K) = 0.51 eV per atom; total energy = -68.92 eV/atom; symmetry = No. 44; volume = 67.3 Å³/f.u.
1.0
-1.5557 2.3539 4.5937
1.5557 -2.3539 4.5937
1.5557 2.3539 -4.5937
Hg Pt W
1 1 2
Cartesian
0.0000 0.0000 0.0000
1.5557 0.0000 2.4344
0.0000 0.0000 4.6202
0.0000 2.3539 2.0239